Entry 1:
VASP calculation (GGA-PBE) on a geometry-optimized NaYPO2 structure.

Cell lengths 4.431, 4.431, 5.679 Å; angles 90.00, 90.00, 90.00 degrees
Space group P4/mmm (No. 123)
Symmetry-distinct sites (fractional):
Na 0.000 0.000 0.000 [1 per cell]
Y 0.500 0.500 0.500 [1 per cell]
P 0.500 0.500 0.000 [1 per cell]
O 0.000 0.500 0.500 [2 per cell]

Properties
The value obtained for the uncorrected formation energy is -1.019 eV/atom. For the distance to the lowest polymorph of the same formula, the calculation gives 0.000 eV/atom.

=====

Entry 2:
VASP calculation (GGA-PBE) on a geometry-optimized Pr2HoAg structure.

Cell lengths 7.804, 7.804, 7.804 Å; angles 90.00, 90.00, 90.00 degrees
Space group Fm-3m (No. 225)
Symmetry-distinct sites (fractional):
Pr 0.250 0.250 0.250 [8 per cell]
Ho 0.000 0.000 0.000 [4 per cell]
Ag 0.000 0.000 0.500 [4 per cell]

Properties
For the formation energy, the calculation gives 58 meV/atom. For the distance to the lowest polymorph of the same formula, the calculation gives 0.147 eV/atom.

=====

Entry 3:
VASP calculation (GGA-PBE) on a geometry-optimized Pr2H4Pd structure.

Cell lengths 3.637, 3.637, 13.843 Å; angles 90.00, 90.00, 90.00 degrees
Space group I4/mmm (No. 139)
Symmetry-distinct sites (fractional):
Pr 0.000 0.000 0.151 [4 per cell]
H 0.000 0.000 0.325 [4 per cell]
H 0.000 0.500 0.000 [4 per cell]
Pd 0.000 0.000 0.500 [2 per cell]

Properties
The raw total energy is -31.34 eV/f.u.

=====

Entry 4:
VASP calculation (GGA-PBE) on a geometry-optimized BeNb2Ag structure.

Cell lengths 3.720, 3.720, 20.117 Å; angles 90.00, 90.00, 90.00 degrees
Space group I-42d (No. 122)
Symmetry-distinct sites (fractional):
Be 0.000 0.000 0.000 [4 per cell]
Nb 0.241 0.250 0.125 [8 per cell]
Ag 0.000 0.000 0.500 [4 per cell]

Properties
For the formation energy, the calculation gives 711 meV/atom.

=====

Entry 5:
VASP calculation (GGA-PBE) on a geometry-optimized Zr2PaRu structure.

Cell lengths 3.271, 3.271, 7.890 Å; angles 90.00, 90.00, 90.00 degrees
Space group P4/mmm (No. 123)
Symmetry-distinct sites (fractional):
Zr 0.000 0.000 0.208 [2 per cell]
Pa 0.500 0.500 0.500 [1 per cell]
Ru 0.500 0.500 0.000 [1 per cell]

Properties
For the formation energy, the calculation gives -222 meV/atom. For the distance to the lowest polymorph of the same formula, the calculation gives 0.000 eV/atom.

=====

Entry 6:
VASP calculation (GGA-PBE) on a geometry-optimized Se3Br structure.

Cell lengths 5.785, 5.785, 5.785 Å; angles 90.00, 90.00, 90.00 degrees
Space group Im-3m (No. 229)
Symmetry-distinct sites (fractional):
Se 0.000 0.000 0.500 [6 per cell]
Br 0.000 0.000 0.000 [2 per cell]

Properties
The value obtained for the uncorrected formation energy is 0.387 eV/atom. For the distance to the lowest polymorph of the same formula, the calculation gives 0.333 eV/atom.

=====

Entry 7:
VASP calculation (GGA-PBE) on a geometry-optimized NaTbEu structure.

Cell lengths 3.6620, 3.6620, 9.3771 Å; angles 90.00, 90.00, 120.00 degrees
Space group P3m1 (No. 156)
Symmetry-distinct sites (fractional):
Na 0.0000 0.0000 0.0000 [1 per cell]
Tb 0.3333 0.6667 0.6685 [1 per cell]
Eu 0.6667 0.3333 0.3533 [1 per cell]

Properties
For the formation energy, the calculation gives 154 meV/atom. For the distance to the lowest polymorph of the same formula, the calculation gives 0.000 eV/atom.

=====

Entry 8:
VASP calculation (GGA-PBE) on a geometry-optimized RbPuGeS3 structure.

Cell lengths 8.539, 4.001, 10.951 Å; angles 90.00, 108.55, 90.00 degrees
Space group P2_1/m (No. 11)
Symmetry-distinct sites (fractional):
Rb 0.241 0.250 0.278 [2 per cell]
Pu 0.353 0.750 0.847 [2 per cell]
Ge 0.136 0.250 0.567 [2 per cell]
S 0.111 0.250 0.775 [2 per cell]
S 0.324 0.750 0.587 [2 per cell]
S 0.416 0.750 0.106 [2 per cell]

Properties
The value obtained for the uncorrected formation energy is -1.139 eV/atom.

=====

Entry 9:
VASP calculation (GGA-PBE) on a geometry-optimized CoAg2Au structure.

Cell lengths 4.101, 4.101, 7.803 Å; angles 90.00, 90.00, 90.00 degrees
Space group I-4m2 (No. 119)
Symmetry-distinct sites (fractional):
Co 0.000 0.000 0.000 [2 per cell]
Ag 0.000 0.000 0.500 [2 per cell]
Ag 0.000 0.500 0.750 [2 per cell]
Au 0.000 0.500 0.250 [2 per cell]

Properties
For the formation energy, the calculation gives 290 meV/atom. For the distance to the lowest polymorph of the same formula, the calculation gives 0.089 eV/atom.

=====

Entry 10:
VASP calculation (GGA-PBE) on a geometry-optimized RbEu3F10 structure.

Cell lengths 12.021, 12.021, 12.021 Å; angles 90.00, 90.00, 90.00 degrees
Space group Fm-3m (No. 225)
Symmetry-distinct sites (fractional):
Rb 0.250 0.250 0.250 [8 per cell]
Eu 0.000 0.000 0.239 [24 per cell]
F 0.000 0.165 0.335 [48 per cell]
F 0.111 0.111 0.111 [32 per cell]

Properties
The value obtained for the uncorrected formation energy is -3.417 eV/atom.

=====

Entry 11:
VASP calculation (GGA-PBE) on a geometry-optimized HoEr3In3Te8 structure.

Cell lengths 8.7200, 8.7200, 23.6622 Å; angles 90.00, 90.00, 120.00 degrees
Space group R-3m (No. 166, hexagonal axes)
Symmetry-distinct sites (fractional):
Ho 0.0000 0.0000 0.0000 [3 per cell]
Er 0.0000 0.5000 0.0000 [9 per cell]
In 0.0000 0.5000 0.5000 [9 per cell]
Te 0.0000 0.0000 0.2587 [6 per cell]
Te 0.0024 0.5012 0.2588 [18 per cell]

Properties
The value obtained for the uncorrected formation energy is -0.995 eV/atom.

=====

Entry 12:
VASP calculation (GGA-PBE) on a geometry-optimized La4Si2TeCl structure.

Cell lengths 7.430, 7.996, 8.142 Å; angles 90.00, 90.00, 90.00 degrees
Space group I222 (No. 23)
Symmetry-distinct sites (fractional):
La 0.124 0.228 0.256 [8 per cell]
Si 0.173 0.500 0.500 [4 per cell]
Te 0.000 0.500 0.000 [2 per cell]
Cl 0.000 0.000 0.500 [2 per cell]

Properties
The value obtained for the uncorrected formation energy is -0.918 eV/atom.

=====

Summary of density of states at the Fermi level in states/eV/atom
0.652; 0.931; 0.275; 1.184; 1.675; 1.099; 1.151; 1.339; 1.335; 2.965; 0.359; 0.880
(order as listed above)